#1
DFT (PBE-GGA) results for a relaxed structure of TbTm3Ir2.

abc: 6.704 6.959 8.303
angles: 114.78 113.81 90.00
Fractional coordinates of all 12 atoms:
Ir 0.427 0.639 0.277
Ir 0.573 0.361 0.723
Ir 0.850 0.139 0.277
Ir 0.150 0.861 0.723
Tm 0.235 0.985 0.471
Tm 0.500 0.250 0.000
Tm 0.765 0.015 0.529
Tm 0.500 0.750 0.000
Tm 0.765 0.515 0.529
Tm 0.235 0.485 0.471
Tb 0.000 0.000 0.000
Tb 0.000 0.500 0.000

Computed properties:
**Space group**: Ibam
**Calculated volume**: 26.25 Å³ per atom
**N(E_F)**: 9.26 states/eV/cell



#2
DFT (PBE-GGA) results for a relaxed structure of TbTm3Ir2.

abc: 4.550 7.192 8.704
angles: 90.00 90.00 90.00
Fractional coordinates of all 12 atoms:
Tm 0.500 0.142 0.830
Tm 0.500 0.642 0.170
Tm 0.000 0.359 0.326
Tm 0.000 0.859 0.674
Tm 0.000 0.989 0.086
Tm 0.000 0.489 0.914
Ir 0.500 0.245 0.153
Ir 0.500 0.745 0.847
Ir 0.000 0.254 0.656
Ir 0.000 0.754 0.344
Tb 0.500 0.511 0.586
Tb 0.500 0.011 0.414

Computed properties:
**Space group**: Pmc2_1
**Calculated volume**: 23.73 Å³ per atom
**N(E_F)**: 11.39 states/eV/cell



Tell me which of them is the least stable. Sure, it is #1.